[1]
Material: ReC
Method: DFT, GGA-PBE
State: relaxed

Summary:
DOS at the Fermi energy: 2.29 states/eV/f.u.
Energy of formation: 0.75 eV per atom
Total magnetization: 0.53 μB/cell

Geometry as POSCAR:
```
ReC
1.0
0.000 2.327 2.327
2.327 0.000 2.327
2.327 2.327 0.000
Re C
1 1
Direct
0.000 0.000 0.000
0.250 0.250 0.250
```

---

[2]
Material: Be2Rh2W
Method: DFT, GGA-PBE
State: relaxed

Summary:
DOS at the Fermi energy: 3.67 states/eV/f.u.
Energy of formation: 0.02 eV per atom
Total magnetization: 0.00 μB/cell

Geometry as POSCAR:
```
Be2Rh2W
1.0
-1.885 1.885 4.347
1.885 -1.885 4.347
1.885 1.885 -4.347
Be Rh W
2 2 1
Direct
0.113 0.113 0.000
0.887 0.887 0.000
0.250 0.750 0.500
0.750 0.250 0.500
0.500 0.500 0.000
```

---

[3]
Material: Ba3As2Pt
Method: DFT, GGA-PBE
State: relaxed

Summary:
DOS at the Fermi energy: 0.25 states/eV/f.u.
Energy of formation: -1.00 eV per atom
Total magnetization: 0.00 μB/cell

Geometry as POSCAR:
```
Ba3As2Pt
1.0
12.965 0.000 0.000
0.000 4.673 0.000
0.000 0.000 12.980
Ba As Pt
12 8 4
Direct
0.059 0.250 0.123
0.119 0.750 0.550
0.212 0.250 0.806
0.288 0.750 0.306
0.381 0.250 0.050
0.441 0.750 0.623
0.559 0.250 0.377
0.619 0.750 0.950
0.712 0.250 0.694
0.788 0.750 0.194
0.881 0.250 0.450
0.941 0.750 0.877
0.031 0.750 0.313
0.199 0.750 0.984
0.301 0.250 0.484
0.469 0.250 0.813
0.531 0.750 0.187
0.699 0.750 0.516
0.801 0.250 0.016
0.969 0.250 0.687
0.119 0.250 0.361
0.381 0.750 0.861
0.619 0.250 0.139
0.881 0.750 0.639
```

---

[4]
Material: Mg2Zn3Ga8
Method: DFT, GGA-PBE
State: relaxed

Summary:
DOS at the Fermi energy: 4.64 states/eV/f.u.
Energy of formation: -0.01 eV per atom
Total magnetization: 0.00 μB/cell

Geometry as POSCAR:
```
Mg2Zn3Ga8
1.0
4.200 -4.510 0.000
4.200 4.510 0.000
-3.541 0.000 6.578
Mg Zn Ga
2 3 8
Direct
0.220 0.220 0.175
0.780 0.780 0.825
0.279 0.721 0.500
0.500 0.500 0.000
0.721 0.279 0.500
0.081 0.081 0.706
0.175 0.675 0.121
0.325 0.825 0.879
0.339 0.339 0.601
0.661 0.661 0.399
0.675 0.175 0.121
0.825 0.325 0.879
0.919 0.919 0.294
```

---

[5]
Material: LaPr3Bi2
Method: DFT, GGA-PBE
State: relaxed

Summary:
DOS at the Fermi energy: 6.47 states/eV/f.u.
Energy of formation: -0.67 eV per atom
Total magnetization: 0.00 μB/cell

Geometry as POSCAR:
```
LaPr3Bi2
1.0
4.703 0.000 0.000
0.000 4.703 0.000
0.000 0.000 9.172
La Pr Bi
1 3 2
Direct
0.000 0.000 0.000
0.000 0.500 0.356
0.500 0.000 0.644
0.500 0.500 0.000
0.000 0.500 0.719
0.500 0.000 0.281
```

---

[6]
Material: SrGaO3
Method: DFT, GGA-PBE
State: relaxed

Summary:
DOS at the Fermi energy: 2.73 states/eV/f.u.
Total magnetization: 2.02 μB/cell
Raw formation energy: -1.875 eV per atom

Geometry as POSCAR:
```
SrGaO3
1.0
2.055 -5.641 0.000
2.055 5.641 0.000
0.000 0.000 5.826
Sr Ga O
2 2 6
Direct
0.197 0.803 0.750
0.803 0.197 0.250
0.484 0.516 0.750
0.516 0.484 0.250
0.028 0.972 0.250
0.378 0.622 0.016
0.378 0.622 0.484
0.622 0.378 0.516
0.622 0.378 0.984
0.972 0.028 0.750
```

---

[7]
Material: NaCd12Ag7
Method: DFT, GGA-PBE
State: relaxed

Summary:
DOS at the Fermi energy: 8.60 states/eV/f.u.
Energy of formation: 0.14 eV per atom
Total magnetization: 0.00 μB/cell

Geometry as POSCAR:
```
NaCd12Ag7
1.0
-5.148 5.148 5.148
5.148 -5.148 5.148
5.148 5.148 -5.148
Na Cd Ag
1 12 7
Direct
0.000 0.000 0.000
0.106 0.754 0.351
0.246 0.351 0.597
0.246 0.649 0.894
0.351 0.106 0.754
0.351 0.597 0.246
0.403 0.754 0.649
0.597 0.246 0.351
0.649 0.403 0.754
0.649 0.894 0.246
0.754 0.351 0.106
0.754 0.649 0.403
0.894 0.246 0.649
0.000 0.000 0.500
0.000 0.500 0.000
0.000 0.500 0.500
0.500 0.000 0.000
0.500 0.000 0.500
0.500 0.500 0.000
0.500 0.500 0.500
```

---

[8]
Material: CsCaNiH6
Method: DFT, GGA-PBE
State: relaxed

Summary:
DOS at the Fermi energy: 3.41 states/eV/f.u.
Total magnetization: 1.02 μB/cell
Raw total energy: -3.369 eV per atom

Geometry as POSCAR:
```
CsCaNiH6
1.0
5.218 0.000 0.000
-2.609 4.519 0.000
0.000 0.000 6.313
Cs Ca Ni H
1 1 1 6
Direct
0.000 0.000 0.000
0.333 0.667 0.500
0.667 0.333 0.500
0.427 0.101 0.651
0.427 0.326 0.349
0.674 0.101 0.349
0.674 0.573 0.651
0.899 0.326 0.651
0.899 0.573 0.349
```

---

[9]
Material: Gd2PdCl
Method: DFT, GGA-PBE
State: relaxed

Summary:
DOS at the Fermi energy: 4.07 states/eV/f.u.
Total magnetization: 14.09 μB/cell
Raw formation energy: -1.080 eV per atom

Geometry as POSCAR:
```
Gd2PdCl
1.0
2.126 1.228 8.309
-2.126 1.228 8.309
0.000 -2.455 8.309
Gd Pd Cl
2 1 1
Direct
0.108 0.108 0.108
0.892 0.892 0.892
0.500 0.500 0.500
0.000 0.000 0.000
```

---

[10]
Material: K2TlCuB
Method: DFT, GGA-PBE
State: relaxed

Summary:
DOS at the Fermi energy: 1.31 states/eV/f.u.
Energy of formation: 0.82 eV per atom
Total magnetization: 0.00 μB/cell

Geometry as POSCAR:
```
K2TlCuB
1.0
6.764 0.000 0.000
0.000 6.764 0.000
0.000 0.000 4.121
K Tl Cu B
2 1 1 1
Direct
0.000 0.500 0.000
0.500 0.000 0.000
0.000 0.000 0.000
0.500 0.500 0.500
0.000 0.000 0.500
```

---

[11]
Material: Si2HgSe
Method: DFT, GGA-PBE
State: relaxed

Summary:
DOS at the Fermi energy: 1.79 states/eV/f.u.
Total magnetization: 0.00 μB/cell
Raw formation energy: 0.346 eV per atom

Geometry as POSCAR:
```
Si2HgSe
1.0
1.825 1.054 7.060
-1.825 1.054 7.060
0.000 -2.108 7.060
Si Hg Se
2 1 1
Direct
0.245 0.245 0.245
0.755 0.755 0.755
0.000 0.000 0.000
0.500 0.500 0.500
```

---

[12]
Material: CaZn12Pd4
Method: DFT, GGA-PBE
State: relaxed

Summary:
DOS at the Fermi energy: 9.59 states/eV/f.u.
Energy of formation: -0.03 eV per atom
Total magnetization: 0.00 μB/cell

Geometry as POSCAR:
```
CaZn12Pd4
1.0
-4.368 4.368 4.368
4.368 -4.368 4.368
4.368 4.368 -4.368
Ca Zn Pd
1 12 4
Direct
0.000 0.000 0.000
0.153 0.353 0.505
0.153 0.647 0.800
0.200 0.847 0.353
0.353 0.200 0.847
0.353 0.505 0.153
0.495 0.847 0.647
0.505 0.153 0.353
0.647 0.495 0.847
0.647 0.800 0.153
0.800 0.153 0.647
0.847 0.353 0.200
0.847 0.647 0.495
0.000 0.000 0.500
0.000 0.500 0.000
0.500 0.000 0.000
0.500 0.500 0.500
```

---

[13]
Material: LaBi2RhPb
Method: DFT, GGA-PBE
State: relaxed

Summary:
DOS at the Fermi energy: 5.89 states/eV/f.u.
Energy of formation: 0.50 eV per atom
Total magnetization: 0.00 μB/cell

Geometry as POSCAR:
```
LaBi2RhPb
1.0
6.251 0.000 0.000
0.000 6.251 0.000
0.000 0.000 4.846
La Bi Rh Pb
1 2 1 1
Direct
0.000 0.000 0.000
0.000 0.500 0.000
0.500 0.000 0.000
0.000 0.000 0.500
0.500 0.500 0.500
```

---

[14]
Material: Pm2SnPPt6
Method: DFT, GGA-PBE
State: relaxed

Summary:
DOS at the Fermi energy: 4.19 states/eV/f.u.
Energy of formation: -0.87 eV per atom
Total magnetization: 0.00 μB/cell

Geometry as POSCAR:
```
Pm2SnPPt6
1.0
5.604 0.000 0.000
0.000 8.546 0.000
0.000 0.000 8.630
Pm Sn P Pt
4 2 2 12
Direct
0.250 0.000 0.239
0.250 0.500 0.239
0.750 0.000 0.761
0.750 0.500 0.761
0.250 0.250 0.791
0.750 0.750 0.209
0.250 0.750 0.738
0.750 0.250 0.262
0.001 0.250 0.510
0.005 0.750 0.955
0.250 0.506 0.613
0.250 0.994 0.613
0.495 0.750 0.955
0.499 0.250 0.510
0.501 0.750 0.490
0.505 0.250 0.045
0.750 0.006 0.387
0.750 0.494 0.387
0.995 0.250 0.045
0.999 0.750 0.490
```